Below is a geometry-optimized Cs2SmPdBr6 structure, with properties calculated at the PBE level.

a = 8.013 Å, b = 8.013 Å, c = 13.962 Å
α = 73.32°, β = 73.32°, γ = 60.00°
Site moments in Bohr magnetons follow the coordinates.
Fractional coordinates of all 20 atoms:
Br (0.874, 0.374, 0.378)  0.05
Br (0.126, 0.626, 0.622)  0.05
Br (0.626, 0.126, 0.622)  0.05
Br (0.206, 0.206, 0.875)  0.03
Br (0.794, 0.288, 0.125)  0.03
Br (0.626, 0.626, 0.622)  0.05
Br (0.374, 0.874, 0.378)  0.05
Br (0.206, 0.712, 0.875)  0.03
Br (0.288, 0.794, 0.125)  0.03
Br (0.712, 0.206, 0.875)  0.03
Br (0.374, 0.374, 0.378)  0.05
Br (0.794, 0.794, 0.125)  0.03
Cs (0.876, 0.876, 0.373)  0.00
Cs (0.706, 0.706, 0.882)  0.00
Cs (0.124, 0.124, 0.627)  0.00
Cs (0.294, 0.294, 0.118)  0.00
Pd (0.000, 0.000, 0.000)  0.68
Pd (0.500, 0.500, 0.500)  0.69
Sm (0.583, 0.583, 0.250)  0.01
Sm (0.417, 0.417, 0.750)  0.01

Values from the calculation:
* formation energy without anion corrections: -1.460 eV/atom
* spin magnetization: 1.0 μB per formula unit
* space group: No. 166
* total DFT energy (no corrections): -3.625 eV per atom